# 1
VASP calculation (PBE) on a geometry-optimized BaMgIn3 structure.

- DFT total energy: -2.705 eV/atom

abc: 7.2178 7.2140 4.8735
angles: 70.30 70.22 39.47
Closest atoms and distances in Å follow each position.
Fractional positions:
Ba 0.0000 0.0000 0.0000  12 In 3.73-4.00, 4 Mg 4.00
Mg 0.7500 0.7500 0.7500  4 In 2.99
In 0.2500 0.2500 0.2500  4 In 2.99
In 0.3862 0.3862 0.6138  3 In 2.89-2.99, 2 Mg 2.99
In 0.6138 0.6138 0.3862  3 In 2.89-2.99, 2 Mg 2.99

***

# 2
VASP calculation (PBE) on a geometry-optimized BaZr2Mo structure.

- Polymorph energy (0 for the lowest one): 621.8 meV per atom

abc: 5.9726 5.9726 3.1348
angles: 99.96 99.96 117.15
Closest atoms and distances in Å follow each position.
Fractional positions:
Ba 0.0000 0.0000 0.0000  2 Mo 3.11, 4 Zr 3.12, 2 Ba 3.13
Zr 0.0000 0.5000 0.5000  4 Zr 3.11-3.13, 2 Mo 3.12, 2 Ba 3.12
Zr 0.5000 0.0000 0.5000  4 Zr 3.11-3.13, 2 Ba 3.12, 2 Mo 3.12
Mo 0.5000 0.5000 0.0000  2 Ba 3.11, 4 Zr 3.12, 2 Mo 3.13

***

# 3
VASP calculation (PBE) on a geometry-optimized Sr2PCl structure.

- DFT total energy: -4.060 eV/atom

abc: 3.7676 3.7676 7.7650
angles: 90.00 90.00 90.08
Closest atoms and distances in Å follow each position.
Fractional positions:
Sr 0.0000 0.0000 0.2103  4 P 3.12-3.13, 1 Sr 3.27, 4 Cl 3.49
Sr 0.0000 0.0000 0.7897  4 P 3.12-3.13, 1 Sr 3.27, 4 Cl 3.49
P 0.5000 0.5000 0.0000  8 Sr 3.12-3.13
Cl 0.5000 0.5000 0.5000  8 Sr 3.49, 4 Cl 3.77, 2 P 3.88

***

# 4
VASP calculation (PBE) on a geometry-optimized AcErTh structure.

- Polymorph energy (0 for the lowest one): 649.3 meV per atom

abc: 7.7938 7.7938 7.7938
angles: 90.00 90.00 90.00
Closest atoms and distances in Å follow each position.
Fractional positions:
Ac 0.1642 0.1642 0.1642  3 Er 3.34
Ac 0.3358 0.8358 0.6642  3 Er 3.34
Ac 0.6642 0.3358 0.8358  3 Er 3.34
Ac 0.8358 0.6642 0.3358  3 Er 3.34
Er 0.0223 0.5223 0.9777  3 Th 3.06, 3 Ac 3.34
Er 0.4777 0.4777 0.4777  3 Th 3.06, 3 Ac 3.34
Er 0.5223 0.9777 0.0223  3 Th 3.06, 3 Ac 3.34
Er 0.9777 0.0223 0.5223  3 Th 3.06, 3 Ac 3.34
Th 0.1777 0.3223 0.6777  3 Er 3.06
Th 0.3223 0.6777 0.1777  3 Er 3.06
Th 0.6777 0.1777 0.3223  3 Er 3.06
Th 0.8223 0.8223 0.8223  3 Er 3.06

***

# 5
VASP calculation (PBE) on a geometry-optimized LiCuAs2 structure.

- Polymorph energy (0 for the lowest one): 0.0 meV per atom

abc: 2.9313 3.9744 5.7034
angles: 90.00 90.53 90.00
Closest atoms and distances in Å follow each position.
Fractional positions:
Li 0.0000 0.0000 0.0000  8 As 2.82, 2 Li 2.93
Cu 0.5000 0.0000 0.5000  4 As 2.48
As 0.4966 0.5000 0.7600  2 Cu 2.48, 1 As 2.74
As 0.5034 0.5000 0.2400  2 Cu 2.48, 1 As 2.74

***

# 6
VASP calculation (PBE) on a geometry-optimized Ag2Sn structure.

- DFT total energy: -3.201 eV/atom

abc: 5.2226 5.2226 6.3771
angles: 107.16 107.16 48.09
Closest atoms and distances in Å follow each position.
Fractional positions:
Ag 0.0000 0.0000 0.0000  6 Sn 3.06-3.09, 6 Ag 3.07-3.19
Ag 0.0000 0.0000 0.5000  4 Sn 2.97, 8 Ag 3.00-3.19
Ag 0.3318 0.3318 0.6655  5 Sn 2.97-3.32, 7 Ag 3.00-3.07
Ag 0.6682 0.6682 0.3345  5 Sn 2.97-3.32, 7 Ag 3.00-3.07
Sn 0.3390 0.3390 0.1897  10 Ag 2.97-3.32, 2 Sn 3.26
Sn 0.6610 0.6610 0.8103  10 Ag 2.97-3.32, 2 Sn 3.26

***

# 7
VASP calculation (PBE) on a geometry-optimized Cs2SmHgCl6 structure.

- DFT total energy: -3.539 eV/atom

abc: 8.0121 11.3095 8.0185
angles: 90.00 90.00 90.00
Closest atoms and distances in Å follow each position.
Fractional positions:
Cs 0.2500 0.0003 0.2486  12 Cl 3.98-4.05
Cs 0.2500 0.4997 0.2486  12 Cl 3.98-4.05
Cs 0.7500 0.9997 0.7514  12 Cl 3.98-4.05
Cs 0.7500 0.5003 0.7514  12 Cl 3.98-4.05
Sm 0.2500 0.2500 0.7528  6 Cl 2.70
Sm 0.7500 0.7500 0.2472  6 Cl 2.70
Hg 0.2500 0.7500 0.7470  6 Cl 2.96-2.97
Hg 0.7500 0.2500 0.2530  6 Cl 2.96-2.97
Cl 0.0111 0.2500 0.5159  1 Sm 2.70, 1 Hg 2.97
Cl 0.0128 0.2500 0.9915  1 Sm 2.70, 1 Hg 2.97
Cl 0.2500 0.0115 0.7529  1 Sm 2.70, 1 Hg 2.96
Cl 0.2500 0.4885 0.7529  1 Sm 2.70, 1 Hg 2.96
Cl 0.4872 0.2500 0.9915  1 Sm 2.70, 1 Hg 2.97
Cl 0.4889 0.2500 0.5159  1 Sm 2.70, 1 Hg 2.97
Cl 0.5111 0.7500 0.4841  1 Sm 2.70, 1 Hg 2.97
Cl 0.5128 0.7500 0.0085  1 Sm 2.70, 1 Hg 2.97
Cl 0.7500 0.5115 0.2471  1 Sm 2.70, 1 Hg 2.96
Cl 0.7500 0.9885 0.2471  1 Sm 2.70, 1 Hg 2.96
Cl 0.9872 0.7500 0.0085  1 Sm 2.70, 1 Hg 2.97
Cl 0.9889 0.7500 0.4841  1 Sm 2.70, 1 Hg 2.97

***

# 8
VASP calculation (PBE) on a geometry-optimized CoHI2Br structure.

- DFT total energy: -2.337 eV/atom

abc: 7.1822 7.1822 3.0217
angles: 90.00 90.00 90.00
Closest atoms and distances in Å follow each position.
Fractional positions:
Co 0.0000 0.0000 0.0000  2 H 1.51
H 0.0000 0.0000 0.5000  2 Co 1.51
I 0.0000 0.5000 0.5000  2 I 3.02
I 0.5000 0.0000 0.5000  2 I 3.02
Br 0.5000 0.5000 0.0000  2 Br 3.02

***

# 9
VASP calculation (PBE) on a geometry-optimized Al3Si2Ni structure.

- Polymorph energy (0 for the lowest one): 0.0 meV per atom

abc: 7.7486 7.7486 3.5667
angles: 90.00 90.00 120.00
Closest atoms and distances in Å follow each position.
Fractional positions:
Al 0.1958 0.3916 0.0000  2 Ni 2.57, 2 Al 2.63, 4 Si 2.73
Al 0.1958 0.8042 0.0000  2 Ni 2.57, 2 Al 2.63, 4 Si 2.73
Al 0.3916 0.1958 0.0000  2 Ni 2.57, 2 Al 2.63, 4 Si 2.73
Al 0.6084 0.8042 0.0000  2 Ni 2.57, 2 Al 2.63, 4 Si 2.73
Al 0.8042 0.1958 0.0000  2 Ni 2.57, 2 Al 2.63, 4 Si 2.73
Al 0.8042 0.6084 0.0000  2 Ni 2.57, 2 Al 2.63, 4 Si 2.73
Si 0.0000 0.0000 0.5000  12 Al 3.18
Si 0.0000 0.5000 0.5000  2 Ni 2.24
Si 0.5000 0.0000 0.5000  2 Ni 2.24
Si 0.5000 0.5000 0.5000  2 Ni 2.24
Ni 0.3333 0.6667 0.5000  3 Si 2.24
Ni 0.6667 0.3333 0.5000  3 Si 2.24

***

# 10
VASP calculation (PBE) on a geometry-optimized KTl2Si structure.

- Polymorph energy (0 for the lowest one): 82.3 meV per atom

abc: 3.5814 4.9594 7.4186
angles: 90.00 103.63 90.00
Closest atoms and distances in Å follow each position.
Fractional positions:
K 0.0000 0.0000 0.0000  7 Tl 3.56-3.97, 2 K 3.58, 4 Si 3.66-3.92
Tl 0.3220 0.5000 0.6646  2 Si 2.97-3.30, 2 Tl 3.25
Tl 0.6220 0.0000 0.4523  2 Si 2.76
Si 0.7287 0.5000 0.3093  3 Tl 2.76-2.97

***

# 11
VASP calculation (PBE) on a geometry-optimized Sm4PIrS2 structure.

- DFT total energy: -6.703 eV/atom

abc: 7.1040 4.0417 7.1400
angles: 90.00 108.62 90.00
Closest atoms and distances in Å follow each position.
Fractional positions:
Sm 0.2453 0.0000 0.2410  2 Ir 2.86, 1 P 2.87, 3 S 2.92-2.94
Sm 0.2481 0.5000 0.7610  1 Ir 2.82, 2 P 2.87, 3 S 2.93-2.97
Sm 0.7519 0.5000 0.2390  1 Ir 2.82, 2 P 2.87, 3 S 2.93-2.97
Sm 0.7547 0.0000 0.7590  2 Ir 2.86, 1 P 2.87, 3 S 2.92-2.94
P 0.5000 0.0000 0.0000  6 Sm 2.87
Ir 0.0000 0.5000 0.0000  6 Sm 2.82-2.86
S 0.0000 0.0000 0.5000  6 Sm 2.92-2.93
S 0.5000 0.5000 0.5000  6 Sm 2.94-2.97

***

# 12
VASP calculation (PBE) on a geometry-optimized BePNO2 structure.

- DFT total energy: -5.765 eV/atom

abc: 3.2521 3.2521 3.8008
angles: 90.00 90.00 90.00
Closest atoms and distances in Å follow each position.
Fractional positions:
Be 0.0000 0.0000 0.0000  4 N 2.30, 8 O 2.50
P 0.5000 0.5000 0.5000  4 O 1.63
N 0.5000 0.5000 0.0000  2 P 1.90
O 0.0000 0.5000 0.5000  2 P 1.63
O 0.5000 0.0000 0.5000  2 P 1.63

***

# 13
VASP calculation (PBE) on a geometry-optimized Pr3Cu3Pd2 structure.

- Polymorph energy (0 for the lowest one): 0.0 meV per atom

abc: 5.7645 5.7645 15.6413
angles: 90.00 90.00 136.78
Closest atoms and distances in Å follow each position.
Fractional positions:
Pr 0.1142 0.8858 0.7500  5 Cu 3.03-3.18, 4 Pd 3.09
Pr 0.3846 0.6154 0.5922  4 Pd 3.03-3.32, 7 Cu 3.05-3.31
Pr 0.3846 0.6154 0.9078  4 Pd 3.03-3.32, 7 Cu 3.05-3.31
Pr 0.6154 0.3846 0.0922  4 Pd 3.03-3.32, 7 Cu 3.05-3.31
Pr 0.6154 0.3846 0.4078  4 Pd 3.03-3.32, 7 Cu 3.05-3.31
Pr 0.8858 0.1142 0.2500  5 Cu 3.03-3.18, 4 Pd 3.09
Cu 0.0909 0.9091 0.5471  1 Cu 2.44, 2 Pd 2.58
Cu 0.0909 0.9091 0.9529  1 Cu 2.44, 2 Pd 2.58
Cu 0.1689 0.8311 0.2500  2 Pd 2.64
Cu 0.8311 0.1689 0.7500  2 Pd 2.64
Cu 0.9091 0.0909 0.0471  1 Cu 2.44, 2 Pd 2.58
Cu 0.9091 0.0909 0.4529  1 Cu 2.44, 2 Pd 2.58
Pd 0.3150 0.6850 0.1145  3 Cu 2.58-2.64
Pd 0.3150 0.6850 0.3855  3 Cu 2.58-2.64
Pd 0.6850 0.3150 0.6145  3 Cu 2.58-2.64
Pd 0.6850 0.3150 0.8855  3 Cu 2.58-2.64

***

# 14
VASP calculation (PBE) on a geometry-optimized Li2YAg2 structure.

- Polymorph energy (0 for the lowest one): 0.0 meV per atom

abc: 3.9353 3.9353 6.5984
angles: 90.00 90.00 90.00
Closest atoms and distances in Å follow each position.
Fractional positions:
Li 0.0000 0.5000 0.0000  4 Ag 2.72, 4 Li 2.78
Li 0.5000 0.0000 0.0000  4 Ag 2.72, 4 Li 2.78
Y 0.0000 0.0000 0.5000  8 Ag 3.13
Ag 0.5000 0.5000 0.2835  4 Li 2.72, 1 Ag 2.86
Ag 0.5000 0.5000 0.7165  4 Li 2.72, 1 Ag 2.86

***

# 15
VASP calculation (PBE) on a geometry-optimized Sc4TcBi2 structure.

- DFT total energy: -6.426 eV/atom

abc: 8.4511 8.4511 8.4511
angles: 146.21 146.21 48.54
Closest atoms and distances in Å follow each position.
Fractional positions:
Sc 0.0000 0.5000 0.5000  2 Tc 2.46
Sc 0.1660 0.1660 0.0000  1 Tc 2.56
Sc 0.5000 0.0000 0.5000  2 Tc 2.46
Sc 0.8340 0.8340 0.0000  1 Tc 2.56
Tc 0.0000 0.0000 0.0000  6 Sc 2.46-2.56
Bi 0.3596 0.3596 0.0000  5 Sc 2.98-3.27
Bi 0.6404 0.6404 0.0000  5 Sc 2.98-3.27

***

# 16
VASP calculation (PBE) on a geometry-optimized SrSbCl2 structure.

- Polymorph energy (0 for the lowest one): 55.0 meV per atom

abc: 12.5632 12.5632 12.5632
angles: 18.44 18.44 18.44
Closest atoms and distances in Å follow each position.
Fractional positions:
Sr 0.0000 0.0000 0.0000  6 Cl 2.84
Sb 0.5000 0.5000 0.5000  6 Sb 4.03
Cl 0.3776 0.3776 0.3776  3 Sr 2.84
Cl 0.6224 0.6224 0.6224  3 Sr 2.84

***

# 17
VASP calculation (PBE) on a geometry-optimized Cs3Sb2Te2 structure.

- DFT total energy: -3.037 eV/atom

abc: 11.2212 11.2212 11.2212
angles: 150.94 149.42 42.69
Closest atoms and distances in Å follow each position.
Fractional positions:
Cs 0.0000 0.0000 0.0000  4 Te 3.96, 8 Sb 4.34
Cs 0.1834 0.6834 0.5000  2 Sb 3.79, 1 Te 3.98
Cs 0.8166 0.3166 0.5000  2 Sb 3.79, 1 Te 3.98
Sb 0.4299 0.4299 0.0000  1 Sb 2.93, 2 Te 3.05
Sb 0.5701 0.5701 0.0000  1 Sb 2.93, 2 Te 3.05
Te 0.3740 0.8740 0.5000  2 Sb 3.05
Te 0.6260 0.1260 0.5000  2 Sb 3.05

***

# 18
VASP calculation (PBE) on a geometry-optimized LaZn2W structure.

- Polymorph energy (0 for the lowest one): 37.5 meV per atom

abc: 3.5074 3.5074 6.3935
angles: 90.00 90.00 90.00
Closest atoms and distances in Å follow each position.
Fractional positions:
La 0.0000 0.0000 0.0000  8 Zn 3.17, 2 W 3.20, 4 La 3.51
Zn 0.5000 0.5000 0.3090  1 Zn 2.44
Zn 0.5000 0.5000 0.6910  1 Zn 2.44
W 0.0000 0.0000 0.5000  8 Zn 2.76

***

# 19
VASP calculation (PBE) on a geometry-optimized Li4Tb3SbS8 structure.

- DFT total energy: -5.214 eV/atom

abc: 7.6742 7.6742 7.6742
angles: 61.65 61.65 61.65
Closest atoms and distances in Å follow each position.
Fractional positions:
Li 0.0000 0.0000 0.0000  6 S 2.74
Li 0.0000 0.5000 0.5000  6 S 2.74
Li 0.5000 0.0000 0.5000  6 S 2.74
Li 0.5000 0.5000 0.0000  6 S 2.74
Tb 0.0000 0.0000 0.5000  6 S 2.75-2.76
Tb 0.0000 0.5000 0.0000  6 S 2.75-2.76
Tb 0.5000 0.0000 0.0000  6 S 2.75-2.76
Sb 0.5000 0.5000 0.5000  6 S 2.75
S 0.2502 0.2502 0.2502  3 Li 2.74, 3 Tb 2.75
S 0.2496 0.2496 0.7487  3 Li 2.74, 1 Sb 2.75, 2 Tb 2.76
S 0.2496 0.7487 0.2496  3 Li 2.74, 1 Sb 2.75, 2 Tb 2.76
S 0.2513 0.7504 0.7504  3 Li 2.74, 1 Sb 2.75, 2 Tb 2.76
S 0.7487 0.2496 0.2496  3 Li 2.74, 1 Sb 2.75, 2 Tb 2.76
S 0.7504 0.2513 0.7504  3 Li 2.74, 1 Sb 2.75, 2 Tb 2.76
S 0.7504 0.7504 0.2513  3 Li 2.74, 1 Sb 2.75, 2 Tb 2.76
S 0.7498 0.7498 0.7498  3 Li 2.74, 3 Tb 2.75

***

# 20
VASP calculation (PBE) on a geometry-optimized KW3Cl structure.

- Polymorph energy (0 for the lowest one): 0.0 meV per atom

abc: 4.5806 4.5806 4.5806
angles: 90.00 90.00 90.00
Closest atoms and distances in Å follow each position.
Fractional positions:
K 0.0000 0.0000 0.0000  12 W 3.24
W 0.0000 0.5000 0.5000  2 Cl 2.29
W 0.5000 0.0000 0.5000  2 Cl 2.29
W 0.5000 0.5000 0.0000  2 Cl 2.29
Cl 0.5000 0.5000 0.5000  6 W 2.29

***

# 21
VASP calculation (PBE) on a geometry-optimized Hf6GeAs3P2 structure.

- DFT total energy: -8.425 eV/atom

abc: 8.5049 8.5049 7.6046
angles: 103.53 103.53 25.69
Closest atoms and distances in Å follow each position.
Fractional positions:
Hf 0.0074 0.0074 0.2519  1 P 2.57, 2 Ge 2.67, 3 As 2.69-2.75
Hf 0.3268 0.3268 0.4303  3 P 2.57-2.59, 3 As 2.79
Hf 0.3309 0.3309 0.8953  2 P 2.58, 3 As 2.70-2.78, 1 Ge 2.73
Hf 0.6691 0.6691 0.1047  2 P 2.58, 3 As 2.70-2.78, 1 Ge 2.73
Hf 0.6732 0.6732 0.5697  3 P 2.57-2.59, 3 As 2.79
Hf 0.9926 0.9926 0.7481  1 P 2.57, 2 Ge 2.67, 3 As 2.69-2.75
Ge 0.5000 0.5000 0.0000  6 Hf 2.67-2.73
As 0.1634 0.1634 0.8335  6 Hf 2.70-2.79
As 0.5000 0.5000 0.5000  6 Hf 2.69-2.79
As 0.8366 0.8366 0.1665  6 Hf 2.70-2.79
P 0.1672 0.1672 0.3347  6 Hf 2.57-2.59
P 0.8328 0.8328 0.6653  6 Hf 2.57-2.59

***

# 22
VASP calculation (PBE) on a geometry-optimized FeAg2Os structure.

- Polymorph energy (0 for the lowest one): 90.4 meV per atom

abc: 2.7197 2.7197 9.4226
angles: 90.00 90.00 116.01
Closest atoms and distances in Å follow each position.
Fractional positions:
Fe 0.0000 0.0000 0.0000  2 Os 2.48, 4 Fe 2.72, 2 Ag 2.75
Ag 0.0000 0.0000 0.4828  8 Ag 2.72-2.91, 2 Os 2.91
Ag 0.5000 0.5000 0.7516  8 Ag 2.72-2.91, 2 Fe 2.75
Os 0.5000 0.5000 0.2148  2 Fe 2.48, 4 Os 2.72

***

# 23
VASP calculation (PBE) on a geometry-optimized Pr7Er12Sc structure.

- Polymorph energy (0 for the lowest one): 0.0 meV per atom

abc: 8.7540 8.7540 8.7540
angles: 85.75 85.75 85.75
Closest atoms and distances in Å follow each position.
Fractional positions:
Pr 0.0000 0.0000 0.0000  6 Er 3.25
Pr 0.1014 0.3452 0.4148  3 Pr 3.40-3.49, 6 Er 3.48-3.75
Pr 0.3452 0.4148 0.1014  3 Pr 3.40-3.49, 6 Er 3.48-3.75
Pr 0.4148 0.1014 0.3452  3 Pr 3.40-3.49, 6 Er 3.48-3.75
Pr 0.5852 0.8986 0.6548  3 Pr 3.40-3.49, 6 Er 3.48-3.75
Pr 0.6548 0.5852 0.8986  3 Pr 3.40-3.49, 6 Er 3.48-3.75
Pr 0.8986 0.6548 0.5852  3 Pr 3.40-3.49, 6 Er 3.48-3.75
Er 0.0007 0.3624 0.8867  4 Er 3.23-3.49, 2 Pr 3.25-3.48
Er 0.1133 0.9993 0.6376  4 Er 3.23-3.49, 2 Pr 3.25-3.48
Er 0.2334 0.7441 0.3575  6 Er 3.30-3.64, 1 Sc 3.30, 2 Pr 3.52-3.60
Er 0.2559 0.6425 0.7666  6 Er 3.30-3.64, 1 Sc 3.30, 2 Pr 3.52-3.60
Er 0.3575 0.2334 0.7441  6 Er 3.30-3.64, 1 Sc 3.30, 2 Pr 3.52-3.60
Er 0.3624 0.8867 0.0007  4 Er 3.23-3.49, 2 Pr 3.25-3.48
Er 0.6376 0.1133 0.9993  4 Er 3.23-3.49, 2 Pr 3.25-3.48
Er 0.6425 0.7666 0.2559  6 Er 3.30-3.64, 1 Sc 3.30, 2 Pr 3.52-3.60
Er 0.7441 0.3575 0.2334  6 Er 3.30-3.64, 1 Sc 3.30, 2 Pr 3.52-3.60
Er 0.7666 0.2559 0.6425  6 Er 3.30-3.64, 1 Sc 3.30, 2 Pr 3.52-3.60
Er 0.8867 0.0007 0.3624  4 Er 3.23-3.49, 2 Pr 3.25-3.48
Er 0.9993 0.6376 0.1133  4 Er 3.23-3.49, 2 Pr 3.25-3.48
Sc 0.5000 0.5000 0.5000  6 Er 3.30

***

# 24
VASP calculation (PBE) on a geometry-optimized Ho4BiSbSe2 structure.

- DFT total energy: -5.499 eV/atom

abc: 7.3324 4.2483 7.3459
angles: 90.00 109.61 90.00
Closest atoms and distances in Å follow each position.
Fractional positions:
Ho 0.2307 0.0000 0.2387  3 Se 2.91-2.95, 1 Sb 3.05, 2 Bi 3.09
Ho 0.2351 0.5000 0.7493  3 Se 2.91-2.95, 2 Sb 3.05, 1 Bi 3.08
Ho 0.7649 0.5000 0.2507  3 Se 2.91-2.95, 2 Sb 3.05, 1 Bi 3.08
Ho 0.7693 0.0000 0.7613  3 Se 2.91-2.95, 1 Sb 3.05, 2 Bi 3.09
Bi 0.5000 0.5000 0.5000  6 Ho 3.08-3.09
Sb 0.5000 0.0000 0.0000  6 Ho 3.05
Se 0.0000 0.0000 0.5000  6 Ho 2.95
Se 0.0000 0.5000 0.0000  6 Ho 2.91